## AlCrIn2 (PBE)

Data for a relaxed structure of AlCrIn2.

## Properties
- Formation energy from the elements: 0.28 eV/atom
- Total energy: -35.479 eV per cell

a b c (Å): 4.2158 4.2158 8.7271
angles (deg): 90.00 90.00 90.00
Space group I4/mmm (No. 139)
Symmetry-distinct sites (fractional):
Al  0.0000  0.0000  0.0000 x2
Cr  0.0000  0.0000  0.5000 x2
In  0.0000  0.5000  0.2500 x4

## Rb3Pb5F12 (PBE)

Data for a relaxed structure of Rb3Pb5F12.

## Properties
- Total energy: -719.784 eV per cell
- Raw formation energy: -2.304 eV per atom

a b c (Å): 15.6120 15.6120 15.6120
angles (deg): 90.00 90.00 90.00
Space group Ia-3d (No. 230)
Symmetry-distinct sites (fractional):
Rb  0.0000  0.2500  0.1250 x24
Pb  0.0000  0.0000  0.0000 x16
Pb  0.0000  0.2500  0.3750 x24
F  0.0241  0.0535  0.6489 x96

## Sm4ZnRu (PBE)

Data for a relaxed structure of Sm4ZnRu.

## Properties
- Polymorph energy (0 for the lowest one): 0.00 kcal/mol of atoms
- Formation energy from the elements: -0.25 eV/atom
- Total energy: -494.814 eV per cell

a b c (Å): 13.6871 13.6871 13.6871
angles (deg): 90.00 90.00 90.00
Space group F-43m (No. 216)
Symmetry-distinct sites (fractional):
Sm  0.0000  0.0000  0.1881 x24
Sm  0.0572  0.2500  0.7500 x24
Sm  0.0990  0.0990  0.4010 x16
Zn  0.1733  0.1733  0.1733 x16
Ru  0.1118  0.1118  0.6118 x16

## Cs2CdHg10 (PBE)

Data for a relaxed structure of Cs2CdHg10.

## Properties
- Formation energy from the elements: -0.09 eV/atom
- Total energy: -13.726 eV per cell

a b c (Å): 11.6765 13.2147 6.7382
angles (deg): 90.00 90.00 90.00
Space group Pbam (No. 55)
Symmetry-distinct sites (fractional):
Cs  0.1502  0.1255  0.0000 x4
Cd  0.0000  0.5000  0.5000 x2
Hg  0.0311  0.8822  0.5000 x4
Hg  0.0548  0.6805  0.2333 x8
Hg  0.2020  0.2934  0.5000 x4
Hg  0.2429  0.0360  0.5000 x4

## K6ClF5 (PBE)

Data for a relaxed structure of K6ClF5.

## Properties
- Total energy: -97.279 eV per cell
- Raw formation energy: -2.571 eV per atom

a b c (Å): 6.8635 11.8510 6.8360
angles (deg): 90.00 109.71 90.00
Space group C2/m (No. 12)
Symmetry-distinct sites (fractional):
K  0.2293  0.1815  0.2418 x8
K  0.2332  0.0000  0.7729 x4
Cl  0.0000  0.5000  0.5000 x2
F  0.0000  0.0000  0.0000 x2
F  0.0000  0.1681  0.5000 x4
F  0.0000  0.3358  0.0000 x4

Which formula does entry 5 have?
K6ClF5

Which of these has the highest total energy?
Cs2CdHg10

Repeat the third record exactly.
## Sm4ZnRu (PBE)

Data for a relaxed structure of Sm4ZnRu.

## Properties
- Polymorph energy (0 for the lowest one): 0.00 kcal/mol of atoms
- Formation energy from the elements: -0.25 eV/atom
- Total energy: -494.814 eV per cell

a b c (Å): 13.6871 13.6871 13.6871
angles (deg): 90.00 90.00 90.00
Space group F-43m (No. 216)
Symmetry-distinct sites (fractional):
Sm  0.0000  0.0000  0.1881 x24
Sm  0.0572  0.2500  0.7500 x24
Sm  0.0990  0.0990  0.4010 x16
Zn  0.1733  0.1733  0.1733 x16
Ru  0.1118  0.1118  0.6118 x16